# 1
RbNa3Ge: relaxed, GGA-PBE.

Cell: 5.819 5.819 5.819 Å, 90.00 90.00 90.00°
Atoms (fractional coordinates):
1 Ge 0.000 0.000 0.000
2 Na 0.000 0.000 0.500
3 Na 0.000 0.500 0.000
4 Na 0.500 0.000 0.000
5 Rb 0.500 0.500 0.500

E_tot, eV per atom: -1.919
Calculated volume, Å³ per cell: 197.1
M_tot, μB/f.u.: 0.0
Energy of formation from the pure elements, eV per atom: -0.0107


# 2
Pm4Si3Pd: relaxed, GGA-PBE.

Cell: 4.326 4.016 11.075 Å, 90.00 90.00 90.00°
Atoms (fractional coordinates):
1 Si 0.000 0.000 0.433
2 Pm 0.500 0.500 0.361
3 Si 0.000 0.500 0.571
4 Pm 0.500 0.000 0.642
5 Pm 0.000 0.000 0.137
6 Pm 0.000 0.500 0.859
7 Si 0.500 0.000 0.924
8 Pd 0.500 0.500 0.073

E_tot, eV per atom: -5.811
Calculated volume, Å³ per cell: 192.4
Formation energy without anion corrections, eV/atom: -0.7525
M_tot, μB/f.u.: 0.0


# 3
Rb2ZnHSe2: relaxed, GGA-PBE.

Cell: 6.642 7.365 8.530 Å, 115.58 112.91 90.00°
Atoms (fractional coordinates):
1 Rb 0.856 0.685 0.713
2 Se 0.400 0.579 0.800
3 Rb 0.644 0.973 0.287
4 H 0.250 0.000 0.000
5 Se 0.900 0.222 0.800
6 Se 0.600 0.421 0.200
7 H 0.750 0.000 0.000
8 Se 0.100 0.778 0.200
9 Zn 0.750 0.500 0.000
10 Zn 0.250 0.500 0.000
11 Rb 0.356 0.027 0.713
12 Rb 0.144 0.315 0.287

E_tot, eV per atom: -2.778
Calculated volume, Å³ per cell: 339.5
M_tot, μB/f.u.: 1.0


# 4
SrCa2HgRh: relaxed, GGA-PBE.

Cell: 5.448 5.448 5.803 Å, 90.00 90.00 90.00°
Atoms (fractional coordinates):
1 Sr 0.000 0.000 0.500
2 Ca 0.500 0.000 0.000
3 Ca 0.000 0.500 0.000
4 Rh 0.000 0.000 0.000
5 Hg 0.500 0.500 0.500

E_tot, eV per atom: -2.944
Calculated volume, Å³ per cell: 172.2
M_tot, μB/f.u.: 0.0
Energy of formation from the pure elements, eV per atom: -0.2766


# 5
HgOs2Ru: relaxed, GGA-PBE.

Cell: 4.809 4.809 4.973 Å, 80.62 80.62 33.87°
Atoms (fractional coordinates):
1 Ru 0.512 0.512 0.482
2 Hg 0.752 0.752 0.740
3 Os 0.247 0.247 0.234
4 Os 0.989 0.989 0.043

E_tot, eV per atom: -7.362
Calculated volume, Å³ per cell: 63.2
M_tot, μB/f.u.: 0.0
Energy of formation from the pure elements, eV per atom: 0.6469


# 6
SbAsP2: relaxed, GGA-PBE.

Cell: 3.520 3.520 7.233 Å, 90.00 90.00 114.19°
Atoms (fractional coordinates):
1 As 0.500 0.500 0.750
2 P 0.000 0.000 0.979
3 Sb 0.500 0.500 0.250
4 P 0.000 0.000 0.521

E_tot, eV per atom: -4.302
Calculated volume, Å³ per cell: 81.8
Formation energy without anion corrections, eV/atom: 0.5962
M_tot, μB/f.u.: 0.0


# 7
MoIrCl2: relaxed, GGA-PBE.

Cell: 8.420 8.420 8.420 Å, 20.62 20.62 20.62°
Atoms (fractional coordinates):
1 Mo 0.500 0.500 0.500
2 Ir 0.000 0.000 0.000
3 Cl 0.094 0.094 0.094
4 Cl 0.906 0.906 0.906

E_tot, eV per atom: -5.507
Calculated volume, Å³ per cell: 64.8
Formation energy without anion corrections, eV/atom: 0.3394
M_tot, μB/f.u.: 0.0


# 8
ErZrZn: relaxed, GGA-PBE.

Cell: 3.364 3.364 6.410 Å, 105.21 105.21 90.00°
Atoms (fractional coordinates):
1 Zr 0.317 0.317 0.635
2 Zn 0.675 0.675 0.350
3 Er 0.007 0.007 0.015

E_tot, eV per atom: -4.963
Calculated volume, Å³ per cell: 67.4
M_tot, μB/f.u.: 0.0
Energy of formation from the pure elements, eV per atom: -0.1679


# 9
TlCoIN2: relaxed, GGA-PBE.

Cell: 4.138 4.138 5.434 Å, 90.00 90.00 90.00°
Atoms (fractional coordinates):
1 N 0.500 0.000 0.000
2 Co 0.000 0.000 0.000
3 Tl 0.500 0.500 0.500
4 I 0.000 0.000 0.500
5 N 0.000 0.500 0.000

E_tot, eV per atom: -4.225
Calculated volume, Å³ per cell: 93.0
Formation energy without anion corrections, eV/atom: 1.3098
M_tot, μB/f.u.: 4.2


# 10
La3Tb6PmDy2: relaxed, GGA-PBE.

Cell: 6.263 6.263 11.937 Å, 95.02 95.02 120.03°
Atoms (fractional coordinates):
1 Tb 0.585 0.918 0.755
2 Pm 0.000 0.000 0.000
3 Tb 0.918 0.585 0.755
4 Tb 0.082 0.415 0.245
5 Tb 0.748 0.748 0.245
6 La 0.833 0.167 0.500
7 La 0.167 0.833 0.500
8 Tb 0.415 0.082 0.245
9 Tb 0.252 0.252 0.755
10 Dy 0.333 0.667 0.000
11 Dy 0.667 0.333 0.000
12 La 0.500 0.500 0.500

E_tot, eV per atom: -4.692
Calculated volume, Å³ per cell: 399.2
M_tot, μB/f.u.: 0.0
Energy of formation from the pure elements, eV per atom: 0.0183


# 11
Mn2TlFe: relaxed, GGA-PBE.

Cell: 6.978 6.978 5.595 Å, 51.43 51.43 90.00°
Atoms (fractional coordinates):
1 Tl 0.750 0.250 0.500
2 Mn 0.375 0.432 0.750
3 Fe 0.250 0.750 0.500
4 Mn 0.875 0.818 0.750
5 Fe 0.500 0.500 0.000
6 Mn 0.568 0.125 0.250
7 Mn 0.182 0.625 0.250
8 Tl 0.000 0.000 0.000

E_tot, eV per atom: -6.477
Calculated volume, Å³ per cell: 128.5
M_tot, μB/f.u.: 4.9
Energy of formation from the pure elements, eV per atom: 0.8152


# 12
Er2Re3Ru: relaxed, GGA-PBE.

Cell: 5.256 5.256 5.509 Å, 90.13 118.42 119.92°
Atoms (fractional coordinates):
1 Er 0.749 0.374 0.123
2 Er 0.251 0.626 0.877
3 Re 0.000 0.000 0.500
4 Ru 0.000 0.000 0.000
5 Re 0.500 0.500 0.500
6 Re 0.500 0.000 0.500

E_tot, eV per atom: -9.549
Calculated volume, Å³ per cell: 110.1
M_tot, μB/f.u.: 0.0
Energy of formation from the pure elements, eV per atom: -0.2585


# 13
OsSeIN2: relaxed, GGA-PBE.

Cell: 3.852 3.852 6.890 Å, 90.00 90.00 90.00°
Atoms (fractional coordinates):
1 Se 0.000 0.000 0.500
2 I 0.000 0.000 0.000
3 Os 0.500 0.500 0.500
4 N 0.500 0.000 0.000
5 N 0.000 0.500 0.000

E_tot, eV per atom: -4.088
Calculated volume, Å³ per cell: 102.3
Formation energy without anion corrections, eV/atom: 2.4950
M_tot, μB/f.u.: 2.6


# 14
Ba3Zn3Si2: relaxed, GGA-PBE.

Cell: 4.385 6.688 16.986 Å, 90.00 90.00 109.14°
Atoms (fractional coordinates):
1 Si 0.135 0.270 0.114
2 Zn 0.756 0.512 0.750
3 Ba 0.537 0.073 0.250
4 Zn 0.429 0.857 0.943
5 Ba 0.845 0.689 0.091
6 Si 0.865 0.730 0.614
7 Ba 0.463 0.927 0.750
8 Zn 0.429 0.857 0.557
9 Zn 0.571 0.143 0.443
10 Zn 0.244 0.488 0.250
11 Ba 0.155 0.311 0.909
12 Ba 0.845 0.689 0.409
13 Si 0.865 0.730 0.886
14 Zn 0.571 0.143 0.057
15 Ba 0.155 0.311 0.591
16 Si 0.135 0.270 0.386

E_tot, eV per atom: -2.834
Calculated volume, Å³ per cell: 470.6
Formation energy without anion corrections, eV/atom: -0.2798
M_tot, μB/f.u.: 0.0


# 15
La3HfSn: relaxed, GGA-PBE.

Cell: 5.649 5.649 5.649 Å, 90.00 90.00 90.00°
Atoms (fractional coordinates):
1 La 0.500 0.000 0.000
2 La 0.000 0.000 0.500
3 La 0.000 0.500 0.000
4 Hf 0.000 0.000 0.000
5 Sn 0.500 0.500 0.500

E_tot, eV per atom: -5.407
Calculated volume, Å³ per cell: 180.3
M_tot, μB/f.u.: 0.0
Energy of formation from the pure elements, eV per atom: 0.3404


# 16
K4Dy3YTe8: relaxed, GGA-PBE.

Cell: 8.989 9.743 8.990 Å, 117.51 119.99 90.00°
Atoms (fractional coordinates):
1 Te 0.764 0.291 0.028
2 Dy 0.500 0.500 0.000
3 Te 0.764 0.291 0.527
4 Te 0.736 0.709 0.972
5 K 0.000 0.000 0.500
6 Te 0.264 0.291 0.028
7 Y 0.000 0.500 0.000
8 K 0.500 0.000 0.000
9 Te 0.264 0.292 0.527
10 K 0.000 0.000 0.000
11 K 0.500 0.000 0.500
12 Dy 0.000 0.500 0.500
13 Te 0.236 0.709 0.473
14 Te 0.736 0.708 0.473
15 Dy 0.500 0.500 0.500
16 Te 0.236 0.709 0.972

E_tot, eV per atom: -4.513
Calculated volume, Å³ per cell: 576.9
Formation energy without anion corrections, eV/atom: -1.4009
M_tot, μB/f.u.: 0.0


# 17
ZrNbPd2C: relaxed, GGA-PBE.

Cell: 4.888 4.133 4.888 Å, 90.00 90.00 90.00°
Atoms (fractional coordinates):
1 Zr 0.000 0.000 0.000
2 Pd 0.500 0.000 0.000
3 C 0.000 0.500 0.000
4 Pd 0.000 0.000 0.500
5 Nb 0.500 0.500 0.500

E_tot, eV per atom: -6.335
Calculated volume, Å³ per cell: 98.7
M_tot, μB/f.u.: 0.0
Energy of formation from the pure elements, eV per atom: 1.3101


# 18
CaMn3Bi: relaxed, GGA-PBE.

Cell: 4.975 4.975 4.975 Å, 90.00 90.00 90.00°
Atoms (fractional coordinates):
1 Bi 0.500 0.500 0.500
2 Mn 0.000 0.500 0.000
3 Ca 0.000 0.000 0.000
4 Mn 0.500 0.000 0.000
5 Mn 0.000 0.000 0.500

E_tot, eV per atom: -5.137
Calculated volume, Å³ per cell: 123.2
M_tot, μB/f.u.: 11.2
Energy of formation from the pure elements, eV per atom: 1.5410


# 19
ZrMo2W: relaxed, GGA-PBE.

Cell: 5.513 5.513 5.513 Å, 139.38 139.38 58.79°
Atoms (fractional coordinates):
1 Mo 0.250 0.750 0.500
2 Zr 0.750 0.250 0.500
3 W 0.500 0.500 0.000
4 Mo 0.000 0.000 0.000

E_tot, eV per atom: -10.508
Calculated volume, Å³ per cell: 70.4
M_tot, μB/f.u.: 0.0
Energy of formation from the pure elements, eV per atom: 0.2829


# 20
Ba2LiLa: relaxed, GGA-PBE.

Cell: 7.620 7.620 7.620 Å, 148.75 129.76 60.36°
Atoms (fractional coordinates):
1 Ba 0.744 0.244 0.500
2 Ba 0.030 0.030 0.000
3 La 0.466 0.466 0.000
4 Li 0.260 0.760 0.500

E_tot, eV per atom: -2.507
Calculated volume, Å³ per cell: 174.9
M_tot, μB/f.u.: 0.0
Energy of formation from the pure elements, eV per atom: 0.1650